Model P:
{"formula": "Ho2W3O12", "functional": "GGA+U", "state": "optimized geometry", "density_g_cm3": 7.55, "space_group": "C2/c, No. 15", "magmom_total_mub_per_fu": 0.00, "lattice": [[-5.8221, -2.6004, -2.5785], [3.3143, -4.5787, 3.9190], [-6.5760, 0.0628, 9.2658]], "species": ["O", "O", "O", "O", "O", "O", "O", "O", "O", "O", "O", "O", "O", "O", "O", "O", "O", "O", "O", "O", "O", "O", "O", "O", "Ho", "Ho", "Ho", "Ho", "W", "W", "W", "W", "W", "W"], "fractional_positions": [[0.4691, 0.3936, 0.4256], [0.7720, 0.3340, 0.5614], [0.9207, 0.8199, 0.4580], [0.2280, 0.6660, 0.4386], [0.1801, 0.0793, 0.0420], [0.8974, 0.5338, 0.2967], [0.1286, 0.2086, 0.2800], [0.5338, 0.8974, 0.7967], [0.3936, 0.4691, 0.9256], [0.3340, 0.7720, 0.0614], [0.8714, 0.7914, 0.7200], [0.4662, 0.1026, 0.2033], [0.9248, 0.3408, 0.1032], [0.6660, 0.2280, 0.9386], [0.2086, 0.1286, 0.7800], [0.6064, 0.5309, 0.0744], [0.3408, 0.9248, 0.6032], [0.7914, 0.8714, 0.2200], [0.5309, 0.6064, 0.5744], [0.0752, 0.6592, 0.8968], [0.6592, 0.0752, 0.3968], [0.0793, 0.1801, 0.5420], [0.1026, 0.4662, 0.7033], [0.8199, 0.9207, 0.9580], [0.0418, 0.2887, 0.9075], [0.7113, 0.9582, 0.5925], [0.2887, 0.0418, 0.4075], [0.9582, 0.7113, 0.0925], [0.7539, 0.5393, 0.4485], [0.1341, 0.8659, 0.7500], [0.8659, 0.1341, 0.2500], [0.2461, 0.4607, 0.5515], [0.5393, 0.7539, 0.9485], [0.4607, 0.2461, 0.0515]]}

---

Model Q:
{"formula": "Ho2W3O12", "functional": "GGA+U", "state": "optimized geometry", "density_g_cm3": 4.81, "space_group": "P2_1/c, No. 14", "magmom_total_mub_per_fu": 0.00, "lattice": [[-9.5898, -1.6465, -2.9184], [3.3263, -3.1510, -9.1528], [0.8123, -13.3716, 4.8986]], "species": ["O", "O", "O", "O", "O", "O", "O", "O", "O", "O", "O", "O", "O", "O", "O", "O", "O", "O", "O", "O", "O", "O", "O", "O", "O", "O", "O", "O", "O", "O", "O", "O", "O", "O", "O", "O", "O", "O", "O", "O", "O", "O", "O", "O", "O", "O", "O", "O", "Ho", "Ho", "Ho", "Ho", "Ho", "Ho", "Ho", "Ho", "W", "W", "W", "W", "W", "W", "W", "W", "W", "W", "W", "W"], "fractional_positions": [[0.1300, 0.1383, 0.5659], [0.3167, 0.9814, 0.2618], [0.8557, 0.7840, 0.8424], [0.9347, 0.4155, 0.1398], [0.5763, 0.8404, 0.9192], [0.0766, 0.8401, 0.5805], [0.6822, 0.4416, 0.4670], [0.9234, 0.1599, 0.4195], [0.4348, 0.4159, 0.3599], [0.3700, 0.8617, 0.0657], [0.8164, 0.9816, 0.2382], [0.1441, 0.2840, 0.8422], [0.1822, 0.0584, 0.9670], [0.3178, 0.5584, 0.5330], [0.3557, 0.7160, 0.3424], [0.6441, 0.2160, 0.3422], [0.5653, 0.9155, 0.3602], [0.4347, 0.0845, 0.6398], [0.3559, 0.7840, 0.6578], [0.1300, 0.3617, 0.4343], [0.1836, 0.0184, 0.7618], [0.8167, 0.5186, 0.7618], [0.3164, 0.5184, 0.7382], [0.6821, 0.0582, 0.5329], [0.6300, 0.3617, 0.0659], [0.6836, 0.4816, 0.2618], [0.1821, 0.4418, 0.0329], [0.9237, 0.3404, 0.5808], [0.3179, 0.9418, 0.4671], [0.8700, 0.6383, 0.5657], [0.0763, 0.6596, 0.4192], [0.1443, 0.2160, 0.1576], [0.8700, 0.8617, 0.4341], [0.5652, 0.5841, 0.6401], [0.6833, 0.0186, 0.7382], [0.4234, 0.3401, 0.9195], [0.1833, 0.4814, 0.2382], [0.8179, 0.5582, 0.9671], [0.4237, 0.1596, 0.0808], [0.5766, 0.6599, 0.0805], [0.8559, 0.7160, 0.1578], [0.9348, 0.0841, 0.8599], [0.8178, 0.9416, 0.0330], [0.6300, 0.1383, 0.9343], [0.6443, 0.2840, 0.6576], [0.0653, 0.5845, 0.8602], [0.0652, 0.9159, 0.1401], [0.3700, 0.6383, 0.9341], [0.7501, 0.0309, 0.3829], [0.7502, 0.4692, 0.6171], [0.7498, 0.9692, 0.8829], [0.7499, 0.5309, 0.1171], [0.2501, 0.4691, 0.8829], [0.2498, 0.5308, 0.3829], [0.2502, 0.0308, 0.1171], [0.2499, 0.9691, 0.6171], [0.0272, 0.2501, 0.5001], [0.1112, 0.1111, 0.8571], [0.3888, 0.6111, 0.6429], [0.8889, 0.6112, 0.8572], [0.6112, 0.3889, 0.3571], [0.5272, 0.2499, 0.0001], [0.6111, 0.1112, 0.6428], [0.1111, 0.3888, 0.1428], [0.8888, 0.8889, 0.1429], [0.9728, 0.7499, 0.4999], [0.4728, 0.7501, 0.9999], [0.3889, 0.8888, 0.3572]]}

---

Most stable = model Q